Density functional theory data (PBE+U) for a relaxed AcPuV2O8 crystal.

Geometry as CIF:
```
data_AcPuV2O8
_chemical_formula_sum 'Ac1 Pu1 V2 O8'
_space_group_name_H-M_alt 'P -3 m 1'
_space_group_IT_number 164
_space_group_name_Hall '-P 3 2"'
_cell_length_a 5.8169
_cell_length_b 5.8169
_cell_length_c 7.2660
_cell_angle_alpha 90.00
_cell_angle_beta 90.00
_cell_angle_gamma 120.00
loop_
_atom_site_label
_atom_site_fract_x
_atom_site_fract_y
_atom_site_fract_z
_atom_site_occupancy
Ac1 0.0000 0.0000 0.0000 1
Pu1 0.0000 0.0000 0.5000 1
V1 0.3333 0.6667 0.3288 1
O1 0.1647 0.3294 0.2557 1
O2 0.3333 0.6667 0.5569 1
```

Electronic total energy in Ha/atom: -0.3141